Entry 1:
Crystalline Tc4Pt at its relaxed geometry. Source: Alexandria via LeMat-Bulk, functional GGA-PBE.

```
5
Lattice="4.688 0.000 0.000 0.000 4.688 0.000 0.000 0.000 4.688" Properties=species:S:1:pos:R:3 pbc="T T T"
Tc 0.000 0.000 0.000
Tc 0.000 2.344 2.344
Tc 2.344 0.000 2.344
Tc 2.344 2.344 0.000
Pt 2.344 2.344 2.344
```

Output
SG   No. 221
Crystal system   cubic
N(E_F)   7.88 states/eV/cell
Excess energy over the best structure of this formula in the dataset   2298.0 meV per atom

***

Entry 2:
Crystalline Sm2AlSiPt6 at its relaxed geometry. Source: Alexandria via LeMat-Bulk, functional GGA-PBE.

```
10
Lattice="5.834 -2.755 0.000 5.834 2.755 0.000 -5.458 0.000 6.135" Properties=species:S:1:pos:R:3 pbc="T T T"
Sm 1.722 0.000 1.234
Sm 4.488 0.000 4.901
Al 5.834 0.000 0.000
Si -2.729 0.000 3.068
Pt 4.410 1.378 1.548
Pt -0.433 0.000 3.768
Pt 1.800 1.378 4.587
Pt 4.410 -1.378 1.548
Pt 6.643 0.000 2.367
Pt 1.800 -1.378 4.587
```

Output
SG   No. 12
Energy relative to the elements, uncorrected   -0.946 eV/atom
Crystal system   monoclinic
N(E_F)   3.52 states/eV/cell

***

Entry 3:
Crystalline La2YTc at its relaxed geometry. Source: Alexandria via LeMat-Bulk, functional GGA-PBE.

```
8
Lattice="4.555 0.000 0.000 0.000 4.555 0.000 0.000 0.000 10.140" Properties=species:S:1:pos:R:3 pbc="T T T"
La 0.000 2.277 2.535
La 0.000 2.277 7.605
La 2.277 0.000 2.535
La 2.277 0.000 7.605
Y 0.000 0.000 0.000
Y 2.277 2.277 5.070
Tc 0.000 0.000 5.070
Tc 2.277 2.277 0.000
```

Output
SG   No. 139
Crystal system   tetragonal
N(E_F)   8.62 states/eV/cell
Excess energy over the best structure of this formula in the dataset   372.1 meV per atom

***

Entry 4:
Crystalline Pm8SbPb2 at its relaxed geometry. Source: Alexandria via LeMat-Bulk, functional GGA-PBE.

```
11
Lattice="9.989 -2.556 0.000 9.989 2.556 0.000 -1.254 0.000 7.100" Properties=species:S:1:pos:R:3 pbc="T T T"
Pm 0.066 0.000 1.843
Pm 3.205 0.000 6.012
Pm 6.222 0.000 3.386
Pm 8.107 0.000 0.117
Pm 10.617 0.000 6.983
Pm 12.503 0.000 3.714
Pm 15.520 0.000 1.088
Pm 18.659 0.000 5.257
Sb 9.362 0.000 3.550
Pb 3.291 0.000 1.954
Pb 15.434 0.000 5.146
```

Output
SG   No. 12
Energy relative to the elements, uncorrected   -0.365 eV/atom
Crystal system   monoclinic
N(E_F)   13.07 states/eV/cell

***

Entry 5:
Crystalline Rb12Ag5Pb3 at its relaxed geometry. Source: Alexandria via LeMat-Bulk, functional GGA-PBE.

```
80
Lattice="-10.757 10.757 10.757 10.757 -10.757 10.757 10.757 10.757 -10.757" Properties=species:S:1:pos:R:3 pbc="T T T"
Rb 3.295 -0.410 1.487
Rb 12.840 6.866 -5.788
Rb 10.347 -1.487 3.295
Rb 16.544 -2.083 3.891
Rb 14.052 0.410 1.487
Rb 12.840 -3.891 5.788
Rb 1.487 3.295 -0.410
Rb 14.647 4.969 -2.083
Rb 6.866 5.788 -2.083
Rb 9.269 3.295 0.410
Rb -0.410 1.487 3.295
Rb 5.788 -2.083 6.866
Rb 10.347 9.269 -3.295
Rb 5.788 2.083 3.891
Rb 9.269 -3.295 10.347
Rb 6.866 -5.788 12.840
Rb 3.891 5.788 2.083
Rb 12.244 7.462 0.410
Rb 3.295 10.347 -1.487
Rb 12.840 3.891 4.969
Rb 5.788 12.840 -3.891
Rb 10.347 1.487 7.462
Rb 2.083 3.891 5.788
Rb 3.295 0.410 9.269
Rb 7.462 10.347 1.487
Rb 8.673 6.866 4.969
Rb 0.410 9.269 3.295
Rb 4.969 -2.083 14.647
Rb -2.083 6.866 5.788
Rb 7.462 0.410 12.244
Rb -1.487 3.295 10.347
Rb 6.866 4.969 8.673
Rb 3.891 16.544 -2.083
Rb 1.487 14.052 0.410
Rb 4.969 8.673 6.866
Rb 0.410 1.487 14.052
Rb 4.969 12.840 3.891
Rb 11.166 9.269 7.462
Rb 1.487 7.462 10.347
Rb 3.891 4.969 12.840
Rb -3.891 5.788 12.840
Rb 9.269 7.462 11.166
Rb -2.083 14.647 4.969
Rb -3.295 10.347 9.269
Rb -5.788 12.840 6.866
Rb 0.410 12.244 7.462
Rb -2.083 3.891 16.544
Rb 7.462 11.166 9.269
Ag 0.000 0.000 0.000
Ag 5.378 5.378 -5.378
Ag 5.378 -5.378 5.378
Ag 10.757 0.000 0.000
Ag 16.135 2.689 0.000
Ag 10.757 -5.378 8.067
Ag 8.067 10.757 -5.378
Ag 8.067 0.000 5.378
Ag 5.378 8.067 0.000
Ag 10.757 5.378 2.689
Ag -5.378 5.378 5.378
Ag 0.000 10.757 0.000
Ag 0.000 0.000 10.757
Ag 5.378 5.378 5.378
Ag 0.000 5.378 8.067
Ag 5.378 2.689 10.757
Ag 2.689 10.757 5.378
Ag 2.689 0.000 16.135
Ag 0.000 16.135 2.689
Ag -5.378 8.067 10.757
Pb 5.378 2.689 0.000
Pb 10.757 5.378 -2.689
Pb 2.689 0.000 5.378
Pb 13.446 0.000 5.378
Pb 0.000 5.378 2.689
Pb 5.378 -2.689 10.757
Pb 5.378 13.446 0.000
Pb 10.757 5.378 8.067
Pb -2.689 10.757 5.378
Pb 8.067 10.757 5.378
Pb 0.000 5.378 13.446
Pb 5.378 8.067 10.757
```

Output
SG   No. 230
Crystal system   cubic
N(E_F)   38.52 states/eV/cell

***

Entry 6:
Crystalline SrPt2Cl at its relaxed geometry. Source: Alexandria via LeMat-Bulk, functional GGA-PBE.

```
8
Lattice="7.873 0.000 0.000 0.000 4.055 0.000 -2.324 0.000 7.300" Properties=species:S:1:pos:R:3 pbc="T T T"
Sr 0.000 0.000 0.000
Sr 3.936 2.028 0.000
Pt 1.292 2.028 2.265
Pt 2.781 0.000 2.301
Pt 5.228 0.000 2.265
Pt 6.717 2.028 2.301
Cl 0.176 0.000 5.804
Cl 4.112 2.028 5.804
```

Output
SG   No. 8
Energy relative to the elements, uncorrected   -0.784 eV/atom
Crystal system   monoclinic
N(E_F)   7.55 states/eV/cell
Excess energy over the best structure of this formula in the dataset   18.9 meV per atom

***

Entry 7:
Crystalline SmEu2 at its relaxed geometry. Source: Alexandria via LeMat-Bulk, functional GGA-PBE.

```
6
Lattice="3.759 0.000 0.000 0.000 3.759 0.000 0.000 0.000 16.276" Properties=species:S:1:pos:R:3 pbc="T T T"
Sm 0.000 0.000 0.000
Sm 1.879 1.879 8.138
Eu 0.000 0.000 5.489
Eu 0.000 0.000 10.787
Eu 1.879 1.879 2.649
Eu 1.879 1.879 13.627
```

Output
SG   No. 139
Crystal system   tetragonal
N(E_F)   7.39 states/eV/cell
Excess energy over the best structure of this formula in the dataset   0.0 meV per atom

***

Entry 8:
Crystalline Sc4SiNi3 at its relaxed geometry. Source: Alexandria via LeMat-Bulk, functional GGA-PBE.

```
8
Lattice="3.461 0.000 0.000 0.000 4.035 0.000 0.000 0.000 9.806" Properties=species:S:1:pos:R:3 pbc="T T T"
Sc 0.000 0.000 0.000
Sc 0.000 2.018 2.715
Sc 1.730 0.000 4.776
Sc 1.730 2.018 7.682
Si 0.000 0.000 6.942
Ni 0.000 2.018 5.555
Ni 1.730 0.000 2.082
Ni 1.730 2.018 0.616
```

Output
SG   No. 25
Energy relative to the elements, uncorrected   -0.576 eV/atom
Crystal system   orthorhombic
N(E_F)   5.47 states/eV/cell

***

Entry 9:
Crystalline Ce8Ga2Pd at its relaxed geometry. Source: Alexandria via LeMat-Bulk, functional GGA-PBE.

```
11
Lattice="8.525 -2.502 0.000 8.525 2.502 0.000 -2.244 0.000 6.340" Properties=species:S:1:pos:R:3 pbc="T T T"
Ce -0.592 0.000 1.952
Ce 2.948 0.000 1.121
Ce 5.677 0.000 0.685
Ce 5.394 0.000 3.642
Ce 9.412 0.000 2.698
Ce 9.130 0.000 5.655
Ce 11.859 0.000 5.220
Ce 15.399 0.000 4.388
Ga 1.787 0.000 4.241
Ga 13.020 0.000 2.099
Pd 8.525 0.000 0.000
```

Output
SG   No. 12
Crystal system   monoclinic
N(E_F)   28.94 states/eV/cell

***

Entry 10:
Crystalline SrCu2Pt2 at its relaxed geometry. Source: Alexandria via LeMat-Bulk, functional GGA-PBE.

```
10
Lattice="7.633 0.000 0.000 0.000 7.633 0.000 0.000 0.000 2.935" Properties=species:S:1:pos:R:3 pbc="T T T"
Sr 0.000 0.000 0.000
Sr 3.817 3.817 0.000
Cu 0.902 2.915 0.000
Cu 2.915 6.731 0.000
Cu 4.718 0.902 0.000
Cu 6.731 4.718 0.000
Pt 1.328 5.145 1.467
Pt 2.488 1.328 1.467
Pt 5.145 6.305 1.467
Pt 6.305 2.488 1.467
```

Output
SG   No. 127
Crystal system   tetragonal
N(E_F)   3.02 states/eV/cell
Excess energy over the best structure of this formula in the dataset   58.6 meV per atom

***

Entry 11:
Crystalline BaVPbS2 at its relaxed geometry. Source: Alexandria via LeMat-Bulk, functional GGA-PBE.

```
5
Lattice="4.831 0.000 0.000 0.000 4.831 0.000 0.000 0.000 5.283" Properties=species:S:1:pos:R:3 pbc="T T T"
Ba 0.000 0.000 0.000
V 2.416 2.416 2.641
Pb 2.416 2.416 0.000
S 0.000 2.416 2.641
S 2.416 0.000 2.641
```

Output
SG   No. 123
Energy relative to the elements, uncorrected   -0.589 eV/atom
Crystal system   tetragonal
N(E_F)   5.51 states/eV/cell

***

Entry 12:
Crystalline NaPt2 at its relaxed geometry. Source: Alexandria via LeMat-Bulk, functional GGA-PBE.

```
12
Lattice="10.555 0.000 0.000 0.000 2.775 0.000 -1.202 0.000 6.925" Properties=species:S:1:pos:R:3 pbc="T T T"
Na -0.250 0.000 2.135
Na 4.326 1.387 4.790
Na 5.027 1.387 2.135
Na 9.603 0.000 4.790
Pt 1.450 1.387 0.105
Pt 1.619 1.387 4.539
Pt 2.457 0.000 2.386
Pt 2.626 0.000 6.820
Pt 6.727 0.000 0.105
Pt 6.896 0.000 4.539
Pt 7.734 1.387 2.386
Pt 7.903 1.387 6.820
```

Output
SG   No. 12
Crystal system   monoclinic
N(E_F)   13.14 states/eV/cell
Excess energy over the best structure of this formula in the dataset   301.8 meV per atom

***

Entry 13:
Crystalline KNa at its relaxed geometry. Source: Alexandria via LeMat-Bulk, functional GGA-PBE.

```
4
Lattice="7.104 0.000 0.000 0.000 4.280 0.000 -1.094 0.000 7.026" Properties=species:S:1:pos:R:3 pbc="T T T"
K 1.235 0.000 2.003
K 4.774 0.000 5.024
Na 1.230 2.140 5.623
Na 4.780 2.140 1.403
```

Output
SG   No. 10
Crystal system   monoclinic
N(E_F)   2.25 states/eV/cell

***

Entry 14:
Crystalline CrCo2Rh at its relaxed geometry. Source: Alexandria via LeMat-Bulk, functional GGA-PBE.

```
8
Lattice="2.822 0.000 0.000 0.000 4.197 0.000 0.000 0.000 8.271" Properties=species:S:1:pos:R:3 pbc="T T T"
Cr 0.000 0.000 0.000
Cr 1.411 2.099 0.000
Co 0.000 2.099 1.961
Co 0.000 2.099 6.309
Co 1.411 0.000 1.961
Co 1.411 0.000 6.309
Rh 0.000 0.000 4.135
Rh 1.411 2.099 4.135
```

Output
SG   No. 65
Crystal system   orthorhombic
N(E_F)   11.75 states/eV/cell

***

Entry 15:
Crystalline YMoIN2 at its relaxed geometry. Source: Alexandria via LeMat-Bulk, functional GGA-PBE.

```
5
Lattice="4.106 0.000 0.000 0.000 4.106 0.000 0.000 0.000 5.396" Properties=species:S:1:pos:R:3 pbc="T T T"
Y 0.000 0.000 0.000
Mo 2.053 2.053 2.698
I 2.053 2.053 0.000
N 0.000 2.053 2.698
N 2.053 0.000 2.698
```

Output
SG   No. 123
Energy relative to the elements, uncorrected   0.279 eV/atom
Crystal system   tetragonal
N(E_F)   3.73 states/eV/cell
Excess energy over the best structure of this formula in the dataset   0.0 meV per atom

***

Entry 16:
Crystalline ZrZn2Tc2 at its relaxed geometry. Source: Alexandria via LeMat-Bulk, functional GGA-PBE.

```
10
Lattice="7.366 0.000 0.000 0.000 7.366 0.000 0.000 0.000 3.007" Properties=species:S:1:pos:R:3 pbc="T T T"
Zr 0.000 0.000 0.000
Zr 3.683 3.683 0.000
Zn 1.322 2.361 1.504
Zn 2.361 6.044 1.504
Zn 5.005 1.322 1.504
Zn 6.044 5.005 1.504
Tc 0.836 4.519 0.000
Tc 2.847 0.836 0.000
Tc 4.519 6.530 0.000
Tc 6.530 2.847 0.000
```

Output
SG   No. 127
Crystal system   tetragonal
N(E_F)   6.46 states/eV/cell
Excess energy over the best structure of this formula in the dataset   61.9 meV per atom

***

Entry 17:
Crystalline Ac2ZrTe2N2 at its relaxed geometry. Source: Alexandria via LeMat-Bulk, functional GGA-PBE.

```
14
Lattice="4.450 0.000 0.000 0.000 4.450 0.000 0.000 0.000 17.271" Properties=species:S:1:pos:R:3 pbc="T T T"
Ac 0.000 0.000 1.794
Ac 0.000 0.000 15.477
Ac 2.225 2.225 6.842
Ac 2.225 2.225 10.429
Zr 0.000 0.000 8.635
Zr 2.225 2.225 0.000
Te 0.000 0.000 5.571
Te 0.000 0.000 11.700
Te 2.225 2.225 3.064
Te 2.225 2.225 14.207
N 0.000 2.225 0.000
N 0.000 2.225 8.635
N 2.225 0.000 0.000
N 2.225 0.000 8.635
```

Output
SG   No. 139
Energy relative to the elements, uncorrected   -1.497 eV/atom
Crystal system   tetragonal

***

Entry 18:
Crystalline ZrZnO3 at its relaxed geometry. Source: Alexandria via LeMat-Bulk, functional GGA-PBE.

```
10
Lattice="5.740 0.000 0.000 0.000 3.395 0.000 -0.169 0.000 6.293" Properties=species:S:1:pos:R:3 pbc="T T T"
Zr 1.363 0.849 0.546
Zr 4.208 2.547 5.747
Zn 1.612 2.547 3.633
Zn 3.959 0.849 2.660
O 0.178 2.547 1.012
O 1.614 0.849 2.675
O 2.015 2.547 5.568
O 3.556 0.849 0.725
O 3.958 2.547 3.618
O 5.393 0.849 5.281
```

Output
SG   No. 11
Energy relative to the elements, uncorrected   -2.486 eV/atom
Crystal system   monoclinic
N(E_F)   0.00 states/eV/cell

***

no.,calculated density (g cm⁻³),energy (eV per atom)
1,9.5,-7.259
2,12.9,-6.431
3,7.3,-6.338
4,7.8,-4.869
5,2.9,-1.706
6,7.3,-4.686
7,6.6,-8.355
8,4.7,-6.588
9,8.4,-5.624
10,11.7,-4.687
11,6.2,-5.190
12,13.5,-4.552
13,1.0,-1.185
14,9.2,-7.559
15,6.2,-6.820
16,8.5,-6.290
17,8.0,-7.168
18,5.5,-7.426